Ba8Si6Sn (PBE, relaxed); space-group type = Pbcn, No. 60; E_form (uncorrected) = -0.455 eV/atom; size of the total moment = 0.0000 μB per atom
1.0
8.8001 0.0000 0.0000
0.0000 8.8204 0.0000
0.0000 0.0000 27.5377
Ba Si Sn
32 24 4
direct
0.0534 0.1825 0.0849
0.0534 0.8175 0.5849
0.1741 0.1300 0.6751
0.1741 0.8700 0.1751
0.1852 0.4903 0.3148
0.1852 0.5097 0.8148
0.2134 0.4926 0.4779
0.2134 0.5074 0.9779
0.2866 0.0074 0.9779
0.2866 0.9926 0.4779
0.3148 0.0097 0.8148
0.3148 0.9903 0.3148
0.3259 0.3700 0.1751
0.3259 0.6300 0.6751
0.4466 0.3175 0.5849
0.4466 0.6825 0.0849
0.5534 0.3175 0.9151
0.5534 0.6825 0.4151
0.6741 0.3700 0.3249
0.6741 0.6300 0.8249
0.6852 0.0097 0.6852
0.6852 0.9903 0.1852
0.7134 0.0074 0.5221
0.7134 0.9926 0.0221
0.7866 0.4926 0.0221
0.7866 0.5074 0.5221
0.8148 0.4903 0.1852
0.8148 0.5097 0.6852
0.8259 0.1300 0.8249
0.8259 0.8700 0.3249
0.9466 0.1825 0.4151
0.9466 0.8175 0.9151
0.0611 0.2071 0.5462
0.0611 0.7929 0.0462
0.0698 0.4238 0.5999
0.0698 0.5762 0.0999
0.1316 0.2329 0.8929
0.1316 0.7671 0.3929
0.3684 0.2671 0.3929
0.3684 0.7329 0.8929
0.4302 0.0762 0.0999
0.4302 0.9238 0.5999
0.4389 0.2929 0.0462
0.4389 0.7071 0.5462
0.5611 0.2929 0.4538
0.5611 0.7071 0.9538
0.5698 0.0762 0.4001
0.5698 0.9238 0.9001
0.6316 0.2671 0.1071
0.6316 0.7329 0.6071
0.8684 0.2329 0.6071
0.8684 0.7671 0.1071
0.9302 0.4238 0.9001
0.9302 0.5762 0.4001
0.9389 0.2071 0.9538
0.9389 0.7929 0.4538
0.0000 0.1721 0.2500
0.0000 0.8279 0.7500
0.5000 0.3279 0.7500
0.5000 0.6721 0.2500